Compound: LaMo
Source: Alexandria
Functional: PBE
Structure: optimized geometry

Results
Formation energy from the elements   3.68 eV per formula unit
Offset from the most stable computed form   1.599 eV/atom
Space-group type   P6_3mc (186)

a b c (Å): 5.087 5.087 5.904
angles (deg): 90.00 90.00 120.00
Fractional coordinates of all 4 atoms:
La (0.333, 0.667, 0.000)
La (0.667, 0.333, 0.500)
Mo (0.333, 0.667, 0.524)
Mo (0.667, 0.333, 0.024)

***

Compound: FeTc2Os
Source: Alexandria
Functional: PBE
Structure: optimized geometry

Results
Formation energy from the elements   0.37 eV per formula unit
Offset from the most stable computed form   0.014 eV/atom
Space-group type   Amm2 (38)

a b c (Å): 4.129 5.107 5.107
angles (deg): 30.67 90.00 90.00
Fractional coordinates of all 4 atoms:
Fe (0.000, 0.000, 0.000)
Tc (0.000, 0.740, 0.740)
Tc (0.500, 0.397, 0.397)
Os (0.500, 0.129, 0.129)

***

Compound: CsHg3Ir
Source: Alexandria
Functional: PBE
Structure: optimized geometry

Results
Formation energy from the elements   -0.33 eV per formula unit
Space-group type   Pm-3m (221)

a b c (Å): 5.394 5.394 5.394
angles (deg): 90.00 90.00 90.00
Fractional coordinates of all 5 atoms:
Cs (0.000, 0.000, 0.000)
Hg (0.000, 0.500, 0.500)
Hg (0.500, 0.000, 0.500)
Hg (0.500, 0.500, 0.000)
Ir (0.500, 0.500, 0.500)

***

Compound: Ca2MgCl
Source: Alexandria
Functional: PBE
Structure: optimized geometry

Results
Offset from the most stable computed form   0.292 eV/atom
Space-group type   I-4m2 (119)
Formation energy without anion corrections   -517.6 meV/atom

a b c (Å): 7.127 7.127 7.127
angles (deg): 143.49 143.49 52.59
Fractional coordinates of all 4 atoms:
Ca (0.000, 0.000, 0.000)
Ca (0.750, 0.250, 0.500)
Mg (0.500, 0.500, 0.000)
Cl (0.250, 0.750, 0.500)

***

Compound: La4OsCl
Source: Alexandria
Functional: PBE
Structure: optimized geometry

Results
Space-group type   F-43m (216)
Formation energy without anion corrections   631.4 meV/atom

a b c (Å): 6.193 6.193 6.193
angles (deg): 60.00 60.00 60.00
Fractional coordinates of all 6 atoms:
La (0.124, 0.124, 0.124)
La (0.124, 0.124, 0.628)
La (0.124, 0.628, 0.124)
La (0.628, 0.124, 0.124)
Os (0.750, 0.750, 0.750)
Cl (0.500, 0.500, 0.500)

***

Compound: CaScB
Source: Alexandria
Functional: PBE
Structure: optimized geometry

Results
Formation energy from the elements   -0.24 eV per formula unit
Offset from the most stable computed form   0.154 eV/atom
Space-group type   P1 (1)

a b c (Å): 3.186 6.417 6.661
angles (deg): 74.30 89.94 89.73
Fractional coordinates of all 6 atoms:
Ca (0.000, 0.000, 0.000)
Ca (0.500, 0.021, 0.491)
Sc (0.005, 0.491, 0.130)
Sc (0.504, 0.499, 0.668)
B (0.003, 0.687, 0.390)
B (0.503, 0.683, 0.302)